CsCu2WF8: relaxed, PBE with a Hubbard U.

Final energy in Ha/atom: -0.1726
Total magnetization in μB/cell: 3.1
N(E_F) in states/eV/atom: 1.27
Space-group type: R-3

Lattice parameters (Å, degrees): 8.8291 8.8291 8.8291 35.75 35.75 35.75
With the nearest neighbours (Å) after each atom.
Fractional coordinates of all 12 atoms:
1 Cs 0.0000 0.0000 0.0000  6 F 3.13
2 Cu 0.2535 0.2535 0.2535  1 F 1.84
3 Cu 0.7465 0.7465 0.7465  1 F 1.84
4 W 0.5000 0.5000 0.5000  6 F 2.02
5 F 0.1453 0.7453 0.4638  1 W 2.02, 1 Cu 2.08
6 F 0.2547 0.5362 0.8547  1 W 2.02, 1 Cu 2.08
7 F 0.3278 0.3278 0.3278  1 Cu 1.84
8 F 0.4638 0.1453 0.7453  1 W 2.02, 1 Cu 2.08
9 F 0.5362 0.8547 0.2547  1 W 2.02, 1 Cu 2.08
10 F 0.6722 0.6722 0.6722  1 Cu 1.84
11 F 0.7453 0.4638 0.1453  1 W 2.02, 1 Cu 2.08
12 F 0.8547 0.2547 0.5362  1 W 2.02, 1 Cu 2.08